PBE-GGA SiRuAu2, optimized geometry; energy relative to the elements, uncorrected = 0.10 eV/atom; magnetization = 0.0 μB per formula unit; raw total energy = -5.22 eV/atom; D(E_F) = 0.55 states/eV per atom
1.0
-1.540 2.267 4.565
1.540 -2.267 4.565
1.540 2.267 -4.565
Si Ru Au
1 1 2
direct
0.000 0.000 0.000
0.807 0.307 0.500
0.225 0.725 0.500
0.513 0.513 0.000